Entry 1:
VASP calculation (PBE) on a relaxed structure of EuLuGaIr.

As for the calculated formation energy: -0.51 eV per atom. As for the total moment: 6.79 μB/f.u.

The structure belongs to space group F-43m (No. 216); the cell edges are 7.013, 7.013 and 7.013 Å and the angles 90.00°, 90.00° and 90.00°. The asymmetric unit holds Eu at (0.000, 0.000, 0.000), Lu at (0.000, 0.000, 0.500), Ga at (0.250, 0.250, 0.750) and Ir at (0.250, 0.250, 0.250).

***

Entry 2:
VASP calculation (PBE) on a relaxed structure of PmEuGaIr.

As for the calculated formation energy: -0.46 eV per atom. As for the total moment: 6.82 μB/f.u.

The structure belongs to space group F-43m (No. 216); the cell edges are 7.188, 7.188 and 7.188 Å and the angles 90.00°, 90.00° and 90.00°. The asymmetric unit holds Pm at (0.000, 0.000, 0.000), Eu at (0.000, 0.000, 0.500), Ga at (0.250, 0.250, 0.250) and Ir at (0.250, 0.250, 0.750).

***

Entry 3:
VASP calculation (PBE) on a relaxed structure of PrEuGaIr.

As for the calculated formation energy: -0.43 eV per atom. As for the total moment: 6.82 μB/f.u.

The structure belongs to space group F-43m (No. 216); the cell edges are 7.247, 7.247 and 7.247 Å and the angles 90.00°, 90.00° and 90.00°. The asymmetric unit holds Pr at (0.000, 0.000, 0.000), Eu at (0.000, 0.000, 0.500), Ga at (0.250, 0.250, 0.250) and Ir at (0.250, 0.250, 0.750).

***

Entry 4:
VASP calculation (PBE) on a relaxed structure of TbEuGaIr.

As for the calculated formation energy: -0.49 eV per atom. As for the total moment: 6.82 μB/f.u.

The structure belongs to space group F-43m (No. 216); the cell edges are 7.104, 7.104 and 7.104 Å and the angles 90.00°, 90.00° and 90.00°. The asymmetric unit holds Tb at (0.000, 0.000, 0.000), Eu at (0.000, 0.000, 0.500), Ga at (0.250, 0.250, 0.750) and Ir at (0.250, 0.250, 0.250).

***

Entry 5:
VASP calculation (PBE) on a relaxed structure of EuThGaIr.

As for the calculated formation energy: -0.45 eV per atom. As for the total moment: 6.78 μB/f.u.

The structure belongs to space group F-43m (No. 216); the cell edges are 7.237, 7.237 and 7.237 Å and the angles 90.00°, 90.00° and 90.00°. The asymmetric unit holds Eu at (0.000, 0.000, 0.000), Th at (0.000, 0.000, 0.500), Ga at (0.250, 0.250, 0.250) and Ir at (0.250, 0.250, 0.750).

***

Entry 6:
VASP calculation (PBE) on a relaxed structure of KEu2Ga.

As for the calculated formation energy: -0.17 eV per atom. As for the total moment: 14.30 μB/f.u. The calculation puts the offset from the most stable computed form at 0 meV/atom.

The structure belongs to space group P4/mmm (No. 123); the cell edges are 3.860, 3.860 and 10.751 Å and the angles 90.00°, 90.00° and 90.00°. The asymmetric unit holds K at (0.000, 0.000, 0.000), Eu at (0.500, 0.500, 0.338) and Ga at (0.000, 0.000, 0.500).

***

Entry 7:
VASP calculation (PBE) on a relaxed structure of KEu2Ga.

As for the calculated formation energy: -0.03 eV per atom. As for the total moment: 14.89 μB/f.u. The calculation puts the offset from the most stable computed form at 142 meV/atom.

The structure belongs to space group R-3m (No. 166, hexagonal axes); the cell edges are 3.9804, 3.9804 and 37.2322 Å and the angles 90.00°, 90.00° and 120.00°. The asymmetric unit holds K at (0.0000, 0.0000, 0.0000), Eu at (0.0000, 0.0000, 0.1088) and Ga at (0.0000, 0.0000, 0.5000).

***

Entry 8:
VASP calculation (PBE) on a relaxed structure of KEuGa4.

As for the calculated formation energy: -0.26 eV per atom. As for the total moment: 7.03 μB/f.u.

The structure belongs to space group F-43m (No. 216); the cell edges are 8.190, 8.190 and 8.190 Å and the angles 90.00°, 90.00° and 90.00°. The asymmetric unit holds K at (0.000, 0.000, 0.000), Eu at (0.250, 0.250, 0.750) and Ga at (0.124, 0.124, 0.376).

***

Entry 9:
VASP calculation (PBE) on a relaxed structure of La2EuGa.

As for the calculated formation energy: -0.14 eV per atom. As for the total moment: 7.61 μB/f.u. The calculation puts the offset from the most stable computed form at 110 meV/atom.

The structure belongs to space group Fm-3m (No. 225); the cell edges are 7.890, 7.890 and 7.890 Å and the angles 90.00°, 90.00° and 90.00°. The asymmetric unit holds La at (0.250, 0.250, 0.250), Eu at (0.000, 0.000, 0.000) and Ga at (0.000, 0.000, 0.500).

***

Entry 10:
VASP calculation (PBE) on a relaxed structure of LaEu2Ga.

As for the calculated formation energy: -0.19 eV per atom. As for the total moment: 14.41 μB/f.u. The calculation puts the offset from the most stable computed form at 0 meV/atom.

The structure belongs to space group P4/mmm (No. 123); the cell edges are 3.752, 3.752 and 9.330 Å and the angles 90.00°, 90.00° and 90.00°. The asymmetric unit holds La at (0.000, 0.000, 0.000), Eu at (0.500, 0.500, 0.306) and Ga at (0.000, 0.000, 0.500).

***

Entry 11:
VASP calculation (PBE) on a relaxed structure of LaEu2Ga.

As for the calculated formation energy: -0.06 eV per atom. As for the total moment: 15.91 μB/f.u. The calculation puts the offset from the most stable computed form at 134 meV/atom.

The structure belongs to space group Fm-3m (No. 225); the cell edges are 7.821, 7.821 and 7.821 Å and the angles 90.00°, 90.00° and 90.00°. The asymmetric unit holds La at (0.000, 0.000, 0.000), Eu at (0.250, 0.250, 0.250) and Ga at (0.000, 0.000, 0.500).

***

Entry 12:
VASP calculation (PBE) on a relaxed structure of LaEu2Ga.

As for the calculated formation energy: -0.17 eV per atom. As for the total moment: 14.53 μB/f.u. The calculation puts the offset from the most stable computed form at 18 meV/atom.

The structure belongs to space group P4/mmm (No. 123); the cell edges are 4.883, 4.883 and 5.164 Å and the angles 90.00°, 90.00° and 90.00°. The asymmetric unit holds La at (0.000, 0.000, 0.000), Eu at (0.000, 0.500, 0.500) and Ga at (0.500, 0.500, 0.000).

***

Entry 13:
VASP calculation (PBE) on a relaxed structure of La2EuGa.

As for the calculated formation energy: -0.21 eV per atom. As for the total moment: 7.49 μB/f.u. The calculation puts the offset from the most stable computed form at 45 meV/atom.

The structure belongs to space group P4/mmm (No. 123); the cell edges are 5.011, 5.011 and 4.828 Å and the angles 90.00°, 90.00° and 90.00°. The asymmetric unit holds La at (0.000, 0.500, 0.000), Eu at (0.000, 0.000, 0.500) and Ga at (0.500, 0.500, 0.500).

***

Entry 14:
VASP calculation (PBE) on a relaxed structure of La2EuGa.

As for the calculated formation energy: -0.25 eV per atom. As for the total moment: 8.22 μB/f.u. The calculation puts the offset from the most stable computed form at 0 meV/atom.

The structure belongs to space group P4/mmm (No. 123); the cell edges are 3.840, 3.840 and 9.017 Å and the angles 90.00°, 90.00° and 90.00°. The asymmetric unit holds La at (0.000, 0.000, 0.195), Eu at (0.500, 0.500, 0.500) and Ga at (0.500, 0.500, 0.000).

***

Entry 15:
VASP calculation (PBE) on a relaxed structure of LaEuGa2.

As for the calculated formation energy: -0.51 eV per atom. As for the total moment: 7.14 μB/f.u.

The structure belongs to space group P4/mmm (No. 123); the cell edges are 3.763, 3.763 and 7.545 Å and the angles 90.00°, 90.00° and 90.00°. The asymmetric unit holds La at (0.000, 0.000, 0.000), Eu at (0.000, 0.000, 0.500) and Ga at (0.500, 0.500, 0.251).

***

Entry 16:
VASP calculation (PBE) on a relaxed structure of LaEuMgGa.

As for the calculated formation energy: -0.30 eV per atom. As for the total moment: 7.35 μB/f.u.

The structure belongs to space group F-43m (No. 216); the cell edges are 7.704, 7.704 and 7.704 Å and the angles 90.00°, 90.00° and 90.00°. The asymmetric unit holds La at (0.000, 0.000, 0.000), Eu at (0.000, 0.000, 0.500), Mg at (0.250, 0.250, 0.750) and Ga at (0.250, 0.250, 0.250).

***

Entry 17:
VASP calculation (PBE) on a relaxed structure of LaNdEuGa.

As for the calculated formation energy: -0.12 eV per atom. As for the total moment: 7.57 μB/f.u.

The structure belongs to space group F-43m (No. 216); the cell edges are 7.834, 7.834 and 7.834 Å and the angles 90.00°, 90.00° and 90.00°. The asymmetric unit holds La at (0.000, 0.000, 0.000), Nd at (0.000, 0.000, 0.500), Eu at (0.250, 0.250, 0.750) and Ga at (0.250, 0.250, 0.250).

***

Entry 18:
VASP calculation (PBE) on a relaxed structure of LaEuGaNi.

As for the calculated formation energy: -0.28 eV per atom. As for the total moment: 6.91 μB/f.u.

The structure belongs to space group F-43m (No. 216); the cell edges are 7.301, 7.301 and 7.301 Å and the angles 90.00°, 90.00° and 90.00°. The asymmetric unit holds La at (0.000, 0.000, 0.000), Eu at (0.000, 0.000, 0.500), Ga at (0.250, 0.250, 0.750) and Ni at (0.250, 0.250, 0.250).

***

Entry 19:
VASP calculation (PBE) on a relaxed structure of LaEuGaPb.

As for the calculated formation energy: -0.50 eV per atom. As for the total moment: 7.19 μB/f.u.

The structure belongs to space group F-43m (No. 216); the cell edges are 7.805, 7.805 and 7.805 Å and the angles 90.00°, 90.00° and 90.00°. The asymmetric unit holds La at (0.000, 0.000, 0.000), Eu at (0.000, 0.000, 0.500), Ga at (0.250, 0.250, 0.750) and Pb at (0.250, 0.250, 0.250).

***

Entry 20:
VASP calculation (PBE) on a relaxed structure of LaEuGaPd.

As for the calculated formation energy: -0.57 eV per atom. As for the total moment: 6.95 μB/f.u.

The structure belongs to space group F-43m (No. 216); the cell edges are 7.420, 7.420 and 7.420 Å and the angles 90.00°, 90.00° and 90.00°. The asymmetric unit holds La at (0.000, 0.000, 0.000), Eu at (0.000, 0.000, 0.500), Ga at (0.250, 0.250, 0.250) and Pd at (0.250, 0.250, 0.750).

***

Entry 21:
VASP calculation (PBE) on a relaxed structure of LaPmEuGa.

As for the calculated formation energy: -0.12 eV per atom. As for the total moment: 7.62 μB/f.u.

The structure belongs to space group F-43m (No. 216); the cell edges are 7.812, 7.812 and 7.812 Å and the angles 90.00°, 90.00° and 90.00°. The asymmetric unit holds La at (0.000, 0.000, 0.000), Pm at (0.000, 0.000, 0.500), Eu at (0.250, 0.250, 0.250) and Ga at (0.250, 0.250, 0.750).

***

Entry 22:
VASP calculation (PBE) on a relaxed structure of LaPrEuGa.

As for the calculated formation energy: -0.13 eV per atom. As for the total moment: 7.52 μB/f.u.

The structure belongs to space group F-43m (No. 216); the cell edges are 7.857, 7.857 and 7.857 Å and the angles 90.00°, 90.00° and 90.00°. The asymmetric unit holds La at (0.000, 0.000, 0.000), Pr at (0.000, 0.000, 0.500), Eu at (0.250, 0.250, 0.750) and Ga at (0.250, 0.250, 0.250).

***

Entry 23:
VASP calculation (PBE) on a relaxed structure of LaEuGaPt.

As for the calculated formation energy: -0.71 eV per atom. As for the total moment: 6.95 μB/f.u.

The structure belongs to space group F-43m (No. 216); the cell edges are 7.384, 7.384 and 7.384 Å and the angles 90.00°, 90.00° and 90.00°. The asymmetric unit holds La at (0.000, 0.000, 0.000), Eu at (0.000, 0.000, 0.500), Ga at (0.250, 0.250, 0.750) and Pt at (0.250, 0.250, 0.250).

***

Entry 24:
VASP calculation (PBE) on a relaxed structure of LaEuGaRu.

As for the calculated formation energy: -0.18 eV per atom. As for the total moment: 6.66 μB/f.u.

The structure belongs to space group F-43m (No. 216); the cell edges are 7.255, 7.255 and 7.255 Å and the angles 90.00°, 90.00° and 90.00°. The asymmetric unit holds La at (0.000, 0.000, 0.000), Eu at (0.000, 0.000, 0.500), Ga at (0.250, 0.250, 0.250) and Ru at (0.250, 0.250, 0.750).

***

Entry 25:
VASP calculation (PBE) on a relaxed structure of LaEuTlGa.

As for the calculated formation energy: -0.43 eV per atom. As for the total moment: 7.39 μB/f.u.

The structure belongs to space group F-43m (No. 216); the cell edges are 7.772, 7.772 and 7.772 Å and the angles 90.00°, 90.00° and 90.00°. The asymmetric unit holds La at (0.000, 0.000, 0.000), Eu at (0.000, 0.000, 0.500), Tl at (0.250, 0.250, 0.250) and Ga at (0.250, 0.250, 0.750).

***

Entry 26:
VASP calculation (PBE) on a relaxed structure of LaEuZnGa.

As for the calculated formation energy: -0.41 eV per atom. As for the total moment: 7.34 μB/f.u.

The structure belongs to space group F-43m (No. 216); the cell edges are 7.525, 7.525 and 7.525 Å and the angles 90.00°, 90.00° and 90.00°. The asymmetric unit holds La at (0.000, 0.000, 0.000), Eu at (0.000, 0.000, 0.500), Zn at (0.250, 0.250, 0.250) and Ga at (0.250, 0.250, 0.750).

***

Entry 27:
VASP calculation (PBE) on a relaxed structure of Li3EuGa.

As for the calculated formation energy: -0.05 eV per atom. As for the total moment: 7.14 μB/f.u.

The structure belongs to space group Pm-3m (No. 221); the cell edges are 4.963, 4.963 and 4.963 Å and the angles 90.00°, 90.00° and 90.00°. The asymmetric unit holds Li at (0.000, 0.000, 0.500), Eu at (0.500, 0.500, 0.500) and Ga at (0.000, 0.000, 0.000).

***

Entry 28:
VASP calculation (PBE) on a relaxed structure of Li2EuGa.

As for the calculated formation energy: -0.07 eV per atom. As for the total moment: 8.43 μB/f.u. The calculation puts the offset from the most stable computed form at 100 meV/atom.

The structure belongs to space group P4/mmm (No. 123); the cell edges are 4.459, 4.459 and 4.920 Å and the angles 90.00°, 90.00° and 90.00°. The asymmetric unit holds Li at (0.000, 0.500, 0.000), Eu at (0.000, 0.000, 0.500) and Ga at (0.500, 0.500, 0.500).

***

Entry 29:
VASP calculation (PBE) on a relaxed structure of LiEuGa2.

As for the calculated formation energy: -0.37 eV per atom. As for the total moment: 6.88 μB/f.u.

The structure belongs to space group P4/mmm (No. 123); the cell edges are 3.415, 3.415 and 7.090 Å and the angles 90.00°, 90.00° and 90.00°. The asymmetric unit holds Li at (0.000, 0.000, 0.000), Eu at (0.000, 0.000, 0.500) and Ga at (0.500, 0.500, 0.192).

***

Entry 30:
VASP calculation (PBE) on a relaxed structure of Li2EuGa.

As for the calculated formation energy: -0.08 eV per atom. As for the total moment: 7.67 μB/f.u. The calculation puts the offset from the most stable computed form at 92 meV/atom.

The structure belongs to space group P4/mmm (No. 123); the cell edges are 3.621, 3.621 and 6.961 Å and the angles 90.00°, 90.00° and 90.00°. The asymmetric unit holds Li at (0.000, 0.000, 0.181), Eu at (0.500, 0.500, 0.500) and Ga at (0.500, 0.500, 0.000).

***

Entry 31:
VASP calculation (PBE) on a relaxed structure of LiEuGa2.

As for the calculated formation energy: -0.28 eV per atom. As for the total moment: 7.07 μB/f.u.

The structure belongs to space group P4/mmm (No. 123); the cell edges are 4.951, 4.951 and 3.686 Å and the angles 90.00°, 90.00° and 90.00°. The asymmetric unit holds Li at (0.000, 0.000, 0.000), Eu at (0.500, 0.500, 0.000) and Ga at (0.000, 0.500, 0.500).